1.
Material: Al2Re2As
Method: DFT, GGA-PBE
State: optimized geometry

Lattice parameters (Å, degrees): 6.4802 6.4802 3.8070 90.00 90.00 90.00
With the nearest neighbours (Å) after each atom.
Positions (direct):
Al 0.6488 0.8512 0.5000  6 Re 2.64-2.72, 1 Al 2.73
Re 0.6514 0.1514 0.0000  2 As 2.46, 6 Al 2.64-2.72
As 0.0000 0.0000 0.0000  4 Re 2.46
Re 0.3486 0.8486 0.0000  2 As 2.46, 6 Al 2.64-2.72
Al 0.8512 0.3512 0.5000  6 Re 2.64-2.72, 1 Al 2.73
Al 0.3512 0.1488 0.5000  6 Re 2.64-2.72, 1 Al 2.73
Re 0.1514 0.3486 0.0000  2 As 2.46, 6 Al 2.64-2.72
As 0.5000 0.5000 0.0000  4 Re 2.46
Re 0.8486 0.6514 0.0000  2 As 2.46, 6 Al 2.64-2.72
Al 0.1488 0.6488 0.5000  6 Re 2.64-2.72, 1 Al 2.73

Summary:
Its total energy is -7.2654 eV per atom.

***

2.
Material: RbIn12Bi4
Method: DFT, GGA-PBE
State: optimized geometry

Lattice parameters (Å, degrees): 9.1838 9.1838 9.1838 109.47 109.47 109.47
With the nearest neighbours (Å) after each atom.
Positions (direct):
Rb 0.0000 0.0000 0.0000  12 In 4.10, 8 Bi 4.59
In 0.8584 0.3598 0.2182  2 In 2.97-3.00, 2 Bi 3.12
In 0.1416 0.6402 0.7818  2 In 2.97-3.00, 2 Bi 3.12
In 0.7818 0.1416 0.6402  2 In 2.97-3.00, 2 Bi 3.12
In 0.4986 0.8584 0.6402  2 In 2.97-3.00, 2 Bi 3.12
In 0.1416 0.3598 0.5014  2 In 2.97-3.00, 2 Bi 3.12
Bi 0.5000 0.0000 0.0000  6 In 3.12
In 0.6402 0.7818 0.1416  2 In 2.97-3.00, 2 Bi 3.12
In 0.2182 0.8584 0.3598  2 In 2.97-3.00, 2 Bi 3.12
Bi 0.0000 0.0000 0.5000  6 In 3.12
Bi 0.0000 0.5000 0.0000  6 In 3.12
Bi 0.5000 0.5000 0.5000  6 In 3.12
In 0.3598 0.2182 0.8584  2 In 2.97-3.00, 2 Bi 3.12
In 0.3598 0.5014 0.1416  2 In 2.97-3.00, 2 Bi 3.12
In 0.6402 0.4986 0.8584  2 In 2.97-3.00, 2 Bi 3.12
In 0.5014 0.1416 0.3598  2 In 2.97-3.00, 2 Bi 3.12
In 0.8584 0.6402 0.4986  2 In 2.97-3.00, 2 Bi 3.12

Summary:
Its total energy is -2.8502 eV per atom.

***

3.
Material: Li3HgAs
Method: DFT, GGA-PBE
State: optimized geometry

Lattice parameters (Å, degrees): 6.2345 6.2345 6.2345 68.76 68.76 68.76
With the nearest neighbours (Å) after each atom.
Positions (direct):
Li 0.0470 0.9040 0.3812  2 As 2.51-2.56
As 0.2438 0.2438 0.2438  6 Li 2.51-2.56, 1 Hg 2.81
As 0.7438 0.7438 0.7438  6 Li 2.51-2.56, 1 Hg 2.81
Li 0.4040 0.5470 0.8812  2 As 2.51-2.56
Hg 0.4422 0.4422 0.4422  1 As 2.81, 6 Li 2.95-3.04
Li 0.8812 0.4040 0.5470  2 As 2.51-2.56
Li 0.3812 0.0470 0.9040  2 As 2.51-2.56
Li 0.5470 0.8812 0.4040  2 As 2.51-2.56
Li 0.9040 0.3812 0.0470  2 As 2.51-2.56
Hg 0.9422 0.9422 0.9422  1 As 2.81, 6 Li 2.95-3.04

Summary:
The calculation puts the energy above the most stable polymorph in this dataset at 23.1 meV per atom.

***

4.
Material: CaHgIr2
Method: DFT, GGA-PBE
State: optimized geometry

Lattice parameters (Å, degrees): 4.7233 4.7233 4.7233 60.00 60.00 60.00
With the nearest neighbours (Å) after each atom.
Positions (direct):
Hg 0.7500 0.7500 0.7500  4 Ca 2.89, 4 Ir 2.89
Ir 0.2500 0.2500 0.2500  4 Ca 2.89, 4 Ir 2.89
Ir 0.0000 0.0000 0.0000  4 Hg 2.89, 4 Ir 2.89
Ca 0.5000 0.5000 0.5000  4 Hg 2.89, 4 Ir 2.89

Summary:
Its total energy is -4.7365 eV per atom.

***

Repeat the third record exactly.
Material: Li3HgAs
Method: DFT, GGA-PBE
State: optimized geometry

Lattice parameters (Å, degrees): 6.2345 6.2345 6.2345 68.76 68.76 68.76
With the nearest neighbours (Å) after each atom.
Positions (direct):
Li 0.0470 0.9040 0.3812  2 As 2.51-2.56
As 0.2438 0.2438 0.2438  6 Li 2.51-2.56, 1 Hg 2.81
As 0.7438 0.7438 0.7438  6 Li 2.51-2.56, 1 Hg 2.81
Li 0.4040 0.5470 0.8812  2 As 2.51-2.56
Hg 0.4422 0.4422 0.4422  1 As 2.81, 6 Li 2.95-3.04
Li 0.8812 0.4040 0.5470  2 As 2.51-2.56
Li 0.3812 0.0470 0.9040  2 As 2.51-2.56
Li 0.5470 0.8812 0.4040  2 As 2.51-2.56
Li 0.9040 0.3812 0.0470  2 As 2.51-2.56
Hg 0.9422 0.9422 0.9422  1 As 2.81, 6 Li 2.95-3.04

Summary:
The calculation puts the energy above the most stable polymorph in this dataset at 23.1 meV per atom.